## ZrTi3Se (GGA-PBE)

Data for a relaxed structure of ZrTi3Se.

Summary:
energy relative to the lowest polymorph listed for this composition = 447 meV per atom
SG = Pm-3m (221)

Lattice parameters (Å, degrees): 4.6929 4.6929 4.6929 90.00 90.00 90.00
Closest atoms and distances in Å follow each position.
Fractional positions:
Zr (0.0000, 0.0000, 0.0000)  12 Ti 3.32
Ti (0.0000, 0.5000, 0.5000)  2 Se 2.35
Ti (0.5000, 0.0000, 0.5000)  2 Se 2.35
Ti (0.5000, 0.5000, 0.0000)  2 Se 2.35
Se (0.5000, 0.5000, 0.5000)  6 Ti 2.35


## ZrTi3Se (GGA-PBE)

Data for a relaxed structure of ZrTi3Se.

Summary:
energy relative to the lowest polymorph listed for this composition = 0 meV per atom
SG = Pnma (62)

Lattice parameters (Å, degrees): 8.7536 3.4732 11.7857 90.00 90.00 90.00
Closest atoms and distances in Å follow each position.
Fractional positions:
Zr (0.1589, 0.2500, 0.0032)  2 Se 2.82, 2 Ti 3.03
Zr (0.3411, 0.7500, 0.5032)  2 Se 2.82, 2 Ti 3.03
Zr (0.6589, 0.2500, 0.4968)  2 Se 2.82, 2 Ti 3.03
Zr (0.8411, 0.7500, 0.9968)  2 Se 2.82, 2 Ti 3.03
Ti (0.0622, 0.2500, 0.4145)  3 Se 2.60-2.64, 5 Ti 2.74-2.87
Ti (0.0780, 0.7500, 0.2211)  2 Se 2.61-2.68, 6 Ti 2.79-2.92
Ti (0.1715, 0.7500, 0.7926)  2 Se 2.61, 3 Ti 2.74-2.79
Ti (0.3285, 0.2500, 0.2926)  2 Se 2.61, 3 Ti 2.74-2.79
Ti (0.4220, 0.2500, 0.7211)  2 Se 2.61-2.68, 6 Ti 2.79-2.92
Ti (0.4378, 0.7500, 0.9145)  3 Se 2.60-2.64, 5 Ti 2.74-2.87
Ti (0.5622, 0.2500, 0.0855)  3 Se 2.60-2.64, 5 Ti 2.74-2.87
Ti (0.5780, 0.7500, 0.2789)  2 Se 2.61-2.68, 6 Ti 2.79-2.92
Ti (0.6715, 0.7500, 0.7074)  2 Se 2.61, 3 Ti 2.74-2.79
Ti (0.8285, 0.2500, 0.2074)  2 Se 2.61, 3 Ti 2.74-2.79
Ti (0.9220, 0.2500, 0.7789)  2 Se 2.61-2.68, 6 Ti 2.79-2.92
Ti (0.9378, 0.7500, 0.5855)  3 Se 2.60-2.64, 5 Ti 2.74-2.87
Se (0.1509, 0.2500, 0.6282)  7 Ti 2.60-2.68, 2 Zr 2.82
Se (0.3491, 0.7500, 0.1282)  7 Ti 2.60-2.68, 2 Zr 2.82
Se (0.6509, 0.2500, 0.8718)  7 Ti 2.60-2.68, 2 Zr 2.82
Se (0.8491, 0.7500, 0.3718)  7 Ti 2.60-2.68, 2 Zr 2.82


## Zr2TiSe4 (GGA-PBE)

Data for a relaxed structure of Zr2TiSe4.

Summary:
SG = C2/m (12)

Lattice parameters (Å, degrees): 7.4280 7.4280 6.5287 116.03 116.03 28.39
Closest atoms and distances in Å follow each position.
Fractional positions:
Zr (0.2477, 0.2477, 0.2254)  6 Se 2.70-2.82
Zr (0.7523, 0.7523, 0.7746)  6 Se 2.70-2.82
Ti (0.5000, 0.5000, 0.5000)  6 Se 2.59-2.64
Se (0.1209, 0.1209, 0.4507)  2 Ti 2.64, 3 Zr 2.78-2.82
Se (0.3886, 0.3886, 0.0582)  1 Ti 2.59, 3 Zr 2.70
Se (0.6114, 0.6114, 0.9418)  1 Ti 2.59, 3 Zr 2.70
Se (0.8791, 0.8791, 0.5493)  2 Ti 2.64, 3 Zr 2.78-2.82


## ZrTiSe2 (GGA-PBE)

Data for a relaxed structure of ZrTiSe2.

Summary:
energy relative to the lowest polymorph listed for this composition = 145 meV per atom
SG = Fm-3m (225)

Lattice parameters (Å, degrees): 4.6580 4.6580 4.6580 60.00 60.00 60.00
Closest atoms and distances in Å follow each position.
Fractional positions:
Zr (0.0000, 0.0000, 0.0000)  8 Se 2.85
Ti (0.5000, 0.5000, 0.5000)  8 Se 2.85
Se (0.2500, 0.2500, 0.2500)  4 Zr 2.85, 4 Ti 2.85
Se (0.7500, 0.7500, 0.7500)  4 Zr 2.85, 4 Ti 2.85


## ZrTi3Se3 (GGA-PBE)

Data for a relaxed structure of ZrTi3Se3.

Summary:
SG = R-3 (148)

Lattice parameters (Å, degrees): 7.6305 7.6305 7.6305 53.87 53.87 53.87
Closest atoms and distances in Å follow each position.
Fractional positions:
Zr (0.1671, 0.1671, 0.1671)  6 Se 2.80-2.98, 3 Ti 3.09
Zr (0.8329, 0.8329, 0.8329)  6 Se 2.80-2.98, 3 Ti 3.09
Ti (0.0211, 0.2662, 0.5830)  4 Se 2.51-2.60
Ti (0.2662, 0.5830, 0.0211)  4 Se 2.51-2.60
Ti (0.4170, 0.9789, 0.7338)  4 Se 2.51-2.60
Ti (0.5830, 0.0211, 0.2662)  4 Se 2.51-2.60
Ti (0.7338, 0.4170, 0.9789)  4 Se 2.51-2.60
Ti (0.9789, 0.7338, 0.4170)  4 Se 2.51-2.60
Se (0.1464, 0.3997, 0.7243)  4 Ti 2.51-2.60, 1 Zr 2.80
Se (0.2757, 0.8536, 0.6003)  4 Ti 2.51-2.60, 1 Zr 2.80
Se (0.3997, 0.7243, 0.1464)  4 Ti 2.51-2.60, 1 Zr 2.80
Se (0.6003, 0.2757, 0.8536)  4 Ti 2.51-2.60, 1 Zr 2.80
Se (0.7243, 0.1464, 0.3997)  4 Ti 2.51-2.60, 1 Zr 2.80
Se (0.8536, 0.6003, 0.2757)  4 Ti 2.51-2.60, 1 Zr 2.80


## Zr3TiSe8 (GGA-PBE)

Data for a relaxed structure of Zr3TiSe8.

Summary:
SG = C2/m (12)

Lattice parameters (Å, degrees): 7.4826 7.4826 8.1829 117.74 117.74 60.06
Closest atoms and distances in Å follow each position.
Fractional positions:
Zr (0.0000, 0.0000, 0.0000)  6 Se 2.70
Zr (0.0000, 0.5000, 0.0000)  6 Se 2.70
Zr (0.5000, 0.0000, 0.0000)  6 Se 2.70
Ti (0.5000, 0.5000, 0.0000)  6 Se 2.60
Se (0.2465, 0.2465, 0.2350)  3 Zr 2.70
Se (0.2565, 0.7375, 0.2271)  1 Ti 2.60, 2 Zr 2.70
Se (0.2624, 0.2624, 0.7728)  1 Ti 2.60, 2 Zr 2.70
Se (0.2625, 0.7435, 0.7729)  1 Ti 2.60, 2 Zr 2.70
Se (0.7375, 0.2565, 0.2271)  1 Ti 2.60, 2 Zr 2.70
Se (0.7376, 0.7376, 0.2272)  1 Ti 2.60, 2 Zr 2.70
Se (0.7435, 0.2625, 0.7729)  1 Ti 2.60, 2 Zr 2.70
Se (0.7535, 0.7535, 0.7650)  3 Zr 2.70


## ZrTiSe (GGA-PBE)

Data for a relaxed structure of ZrTiSe.

Summary:
energy relative to the lowest polymorph listed for this composition = 251 meV per atom
SG = P4_2/m (84)

Lattice parameters (Å, degrees): 8.8128 8.8128 3.3753 90.00 90.00 90.00
Closest atoms and distances in Å follow each position.
Fractional positions:
Zr (0.0394, 0.6497, 0.0000)  3 Se 2.63-2.68, 1 Zr 2.73
Zr (0.3503, 0.0394, 0.5000)  3 Se 2.63-2.68, 1 Zr 2.73
Zr (0.6497, 0.9606, 0.5000)  3 Se 2.63-2.68, 1 Zr 2.73
Zr (0.9606, 0.3503, 0.0000)  3 Se 2.63-2.68, 1 Zr 2.73
Ti (0.3067, 0.4630, 0.5000)  3 Se 2.59-2.65
Ti (0.4630, 0.6933, 0.0000)  3 Se 2.59-2.65
Ti (0.5370, 0.3067, 0.0000)  3 Se 2.59-2.65
Ti (0.6933, 0.5370, 0.5000)  3 Se 2.59-2.65
Se (0.2419, 0.2492, 0.0000)  3 Ti 2.59-2.65, 3 Zr 2.63-2.68
Se (0.2492, 0.7581, 0.5000)  3 Ti 2.59-2.65, 3 Zr 2.63-2.68
Se (0.7508, 0.2419, 0.5000)  3 Ti 2.59-2.65, 3 Zr 2.63-2.68
Se (0.7581, 0.7508, 0.0000)  3 Ti 2.59-2.65, 3 Zr 2.63-2.68


## Zr2TiSe2 (GGA-PBE)

Data for a relaxed structure of Zr2TiSe2.

Summary:
SG = P4/mbm (127)

Lattice parameters (Å, degrees): 7.2449 7.2449 3.5970 90.00 90.00 90.00
Closest atoms and distances in Å follow each position.
Fractional positions:
Zr (0.1562, 0.3438, 0.0000)  6 Se 2.68-2.85
Zr (0.3438, 0.8438, 0.0000)  6 Se 2.68-2.85
Zr (0.6562, 0.1562, 0.0000)  6 Se 2.68-2.85
Zr (0.8438, 0.6562, 0.0000)  6 Se 2.68-2.85
Ti (0.0000, 0.0000, 0.5000)  4 Se 2.76
Ti (0.5000, 0.5000, 0.5000)  4 Se 2.76
Se (0.1497, 0.6497, 0.5000)  6 Zr 2.68-2.85, 2 Ti 2.76
Se (0.3503, 0.1497, 0.5000)  6 Zr 2.68-2.85, 2 Ti 2.76
Se (0.6497, 0.8503, 0.5000)  6 Zr 2.68-2.85, 2 Ti 2.76
Se (0.8503, 0.3503, 0.5000)  6 Zr 2.68-2.85, 2 Ti 2.76


## ZrTiSe2 (GGA-PBE)

Data for a relaxed structure of ZrTiSe2.

Summary:
energy relative to the lowest polymorph listed for this composition = 427 meV per atom
SG = R-3m (166)

Lattice parameters (Å, degrees): 8.8394 8.8394 8.8394 22.50 22.50 22.50
Closest atoms and distances in Å follow each position.
Fractional positions:
Zr (0.0000, 0.0000, 0.0000)  2 Se 2.69
Ti (0.5000, 0.5000, 0.5000)  6 Se 2.56
Se (0.1042, 0.1042, 0.1042)  3 Ti 2.56, 1 Zr 2.69
Se (0.8958, 0.8958, 0.8958)  3 Ti 2.56, 1 Zr 2.69


## ZrTiSe (GGA-PBE)

Data for a relaxed structure of ZrTiSe.

Summary:
energy relative to the lowest polymorph listed for this composition = 303 meV per atom
SG = C2/m (12)

Lattice parameters (Å, degrees): 8.6647 8.6647 8.1333 91.32 91.32 23.38
Closest atoms and distances in Å follow each position.
Fractional positions:
Zr (0.0317, 0.0317, 0.3164)  2 Se 2.59-2.84
Zr (0.4070, 0.4070, 0.1246)  4 Se 2.81-2.86, 2 Ti 3.07, 2 Zr 3.14
Zr (0.5930, 0.5930, 0.8754)  4 Se 2.81-2.86, 2 Ti 3.07, 2 Zr 3.14
Zr (0.9683, 0.9683, 0.6836)  2 Se 2.59-2.84
Ti (0.2416, 0.2416, 0.8711)  4 Se 2.55-2.78, 4 Ti 2.68-2.74
Ti (0.2484, 0.2484, 0.3760)  4 Se 2.64-2.80, 4 Ti 2.67-2.68
Ti (0.7516, 0.7516, 0.6240)  4 Se 2.64-2.80, 4 Ti 2.67-2.68
Ti (0.7584, 0.7584, 0.1289)  4 Se 2.55-2.78, 4 Ti 2.68-2.74
Se (0.1315, 0.1315, 0.6123)  4 Ti 2.69-2.80, 4 Zr 2.84-2.91
Se (0.1496, 0.1496, 0.1201)  4 Ti 2.55-2.64, 3 Zr 2.59-2.81
Se (0.8504, 0.8504, 0.8799)  4 Ti 2.55-2.64, 3 Zr 2.59-2.81
Se (0.8685, 0.8685, 0.3877)  4 Ti 2.69-2.80, 4 Zr 2.84-2.91


## ZrTiSe2 (GGA-PBE)

Data for a relaxed structure of ZrTiSe2.

Summary:
energy relative to the lowest polymorph listed for this composition = 0 meV per atom
SG = Pnma (62)

Lattice parameters (Å, degrees): 5.0187 5.0159 12.9787 90.00 90.00 90.00
Closest atoms and distances in Å follow each position.
Fractional positions:
Zr (0.0007, 0.2500, 0.1792)  5 Se 2.68-2.82
Zr (0.4993, 0.7500, 0.6792)  5 Se 2.68-2.82
Zr (0.5007, 0.2500, 0.3208)  5 Se 2.68-2.82
Zr (0.9993, 0.7500, 0.8208)  5 Se 2.68-2.82
Ti (0.0007, 0.7500, 0.3164)  5 Se 2.70-2.73
Ti (0.4993, 0.2500, 0.8164)  5 Se 2.70-2.73
Ti (0.5007, 0.7500, 0.1836)  5 Se 2.70-2.73
Ti (0.9993, 0.2500, 0.6836)  5 Se 2.70-2.73
Se (0.0007, 0.2500, 0.3968)  3 Zr 2.70-2.82, 2 Ti 2.72
Se (0.0007, 0.7500, 0.1058)  2 Zr 2.68, 3 Ti 2.70-2.73
Se (0.4993, 0.2500, 0.6058)  2 Zr 2.68, 3 Ti 2.70-2.73
Se (0.4993, 0.7500, 0.8968)  3 Zr 2.70-2.82, 2 Ti 2.72
Se (0.5007, 0.2500, 0.1032)  3 Zr 2.70-2.82, 2 Ti 2.72
Se (0.5007, 0.7500, 0.3942)  2 Zr 2.68, 3 Ti 2.70-2.73
Se (0.9993, 0.2500, 0.8942)  2 Zr 2.68, 3 Ti 2.70-2.73
Se (0.9993, 0.7500, 0.6032)  3 Zr 2.70-2.82, 2 Ti 2.72


## ZrTi4Se8 (GGA-PBE)

Data for a relaxed structure of ZrTi4Se8.

Summary:
SG = R-3m (166)

Lattice parameters (Å, degrees): 7.5266 7.5266 7.5266 57.54 57.54 57.54
Closest atoms and distances in Å follow each position.
Fractional positions:
Zr (0.0000, 0.0000, 0.0000)  6 Se 2.67
Ti (0.0000, 0.0000, 0.5000)  6 Se 2.57-2.63
Ti (0.0000, 0.5000, 0.0000)  6 Se 2.57-2.63
Ti (0.5000, 0.0000, 0.0000)  6 Se 2.57-2.63
Ti (0.5000, 0.5000, 0.5000)  6 Se 2.56
Se (0.2458, 0.2458, 0.2458)  3 Ti 2.57
Se (0.2555, 0.2555, 0.7406)  3 Ti 2.56-2.63, 1 Zr 2.67
Se (0.2555, 0.7406, 0.2555)  3 Ti 2.56-2.63, 1 Zr 2.67
Se (0.2594, 0.7445, 0.7445)  3 Ti 2.56-2.63, 1 Zr 2.67
Se (0.7406, 0.2555, 0.2555)  3 Ti 2.56-2.63, 1 Zr 2.67
Se (0.7445, 0.2594, 0.7445)  3 Ti 2.56-2.63, 1 Zr 2.67
Se (0.7445, 0.7445, 0.2594)  3 Ti 2.56-2.63, 1 Zr 2.67
Se (0.7542, 0.7542, 0.7542)  3 Ti 2.57


So what do the calculations give for raw formation energy? Going down the list: -51; -498; -1283; -968; -868; -1264; -585; -861; -686; -533; -1113; -1181 meV/atom.
So what do the calculations give for DOS(E_F)? Going down the list: 0.95; 1.13; 0.69; 0.07; 0.57; 0.12; 0.94; 0.30; 1.37; 0.93; 0.69; 0.71 states/eV per atom.
So what do the calculations give for total moment? Going down the list: 0.0; 0.0; 0.9; 0.0; 0.0; 0.0; 1.3; 0.0; 0.4; 0.0; 0.0; 0.8 μB/cell.